Below is EuIn2Ge4Ir4 at its PBEsol-relaxed geometry, with properties calculated at the meta-GGA SCAN level.

Summary:
- Calculated total energy: -1.630 Ha/atom
- Energy relative to the elements: -6.78 eV per formula unit

Unit cell a=6.9015 b=6.9015 c=8.7047 alpha=90.00 beta=90.00 gamma=90.00
Closest atoms and distances in Å follow each position.
Space group I-42m (No. 121)
Inequivalent atoms, fractional coordinates:
Eu (0.0000, 0.0000, 0.0000) (multiplicity 2)  8 Ge 3.20-3.54, 4 Ir 3.44, 4 In 3.45
In (0.0000, 0.5000, 0.0000) (multiplicity 4)  4 Ir 2.74, 4 Ge 3.04
Ge (0.1819, 0.1819, 0.3052) (multiplicity 8)  4 Ir 2.36-2.58
Ir (0.1594, 0.1594, 0.6007) (multiplicity 8)  4 Ge 2.36-2.58

---

Below is Li2EuIn at its PBEsol-relaxed geometry, with properties calculated at the meta-GGA SCAN level.

Summary:
- Calculated total energy: -0.856 Ha/atom
- Energy relative to the elements: -1.29 eV per formula unit

Unit cell a=7.0477 b=7.0477 c=7.0477 alpha=90.00 beta=90.00 gamma=90.00
Closest atoms and distances in Å follow each position.
Space group Fm-3m (No. 225)
Inequivalent atoms, fractional coordinates:
Li (0.2500, 0.2500, 0.2500) (multiplicity 8)  4 In 3.05, 4 Eu 3.05
Eu (0.0000, 0.0000, 0.0000) (multiplicity 4)  8 Li 3.05
In (0.0000, 0.0000, 0.5000) (multiplicity 4)  8 Li 3.05

---

Below is SrTaRe at its PBEsol-relaxed geometry, with properties calculated at the meta-GGA SCAN level.

Summary:
- Calculated total energy: -1.932 Ha/atom
- Energy relative to the elements: 2.27 eV per formula unit
- Distance to the lowest polymorph of the same formula: 0.000 eV per atom

Unit cell a=3.2996 b=4.9614 c=15.0917 alpha=90.00 beta=90.00 gamma=90.00
Closest atoms and distances in Å follow each position.
Space group Fmm2 (No. 42)
Inequivalent atoms, fractional coordinates:
Sr (0.0000, 0.0000, 0.0000) (multiplicity 4)  6 Sr 2.98-3.30, 2 Re 3.10
Ta (0.0000, 0.0000, 0.6989) (multiplicity 4)  2 Re 2.53
Re (0.0000, 0.0000, 0.3259) (multiplicity 4)  2 Ta 2.53

---

Below is Cu2Au3 at its PBEsol-relaxed geometry, with properties calculated at the meta-GGA SCAN level.

Summary:
- Calculated total energy: -1.749 Ha/atom
- Energy relative to the elements: -0.13 eV per formula unit
- Distance to the lowest polymorph of the same formula: 0.046 eV per atom

Unit cell a=9.3985 b=13.1588 c=4.8468 alpha=90.00 beta=90.00 gamma=90.00
Closest atoms and distances in Å follow each position.
Space group Fdd2 (No. 43)
Inequivalent atoms, fractional coordinates:
Cu (0.0211, 0.2026, 0.0000) (multiplicity 16)  9 Au 2.61-2.88, 2 Cu 2.75
Au (0.0000, 0.0000, 0.0341) (multiplicity 8)  6 Cu 2.63-2.82, 4 Au 2.79-2.83
Au (0.0402, 0.1043, 0.5295) (multiplicity 16)  6 Cu 2.61-2.88, 5 Au 2.70-2.85

---

Below is Sc2InCu at its PBEsol-relaxed geometry, with properties calculated at the meta-GGA SCAN level.

Summary:
- Calculated total energy: -0.723 Ha/atom
- Energy relative to the elements: -1.66 eV per formula unit

Unit cell a=4.7349 b=4.7349 c=3.4564 alpha=90.00 beta=90.00 gamma=90.00
Closest atoms and distances in Å follow each position.
Space group P4/mmm (No. 123)
Inequivalent atoms, fractional coordinates:
Sc (0.0000, 0.5000, 0.0000) (multiplicity 2)  4 Cu 2.93, 4 In 2.93
In (0.0000, 0.0000, 0.5000) (multiplicity 1)  8 Sc 2.93
Cu (0.5000, 0.5000, 0.5000) (multiplicity 1)  8 Sc 2.93

---

Below is ZnAgBr2 at its PBEsol-relaxed geometry, with properties calculated at the meta-GGA SCAN level.

Summary:
- ΔE_f (raw): -268 meV per atom
- Calculated total energy: -0.780 Ha/atom
- Distance to the lowest polymorph of the same formula: 0.000 eV per atom

Unit cell a=3.7508 b=3.7508 c=23.2446 alpha=90.00 beta=90.00 gamma=120.00
Closest atoms and distances in Å follow each position.
Space group R3m (No. 160, hexagonal axes)
Inequivalent atoms, fractional coordinates:
Zn (0.0000, 0.0000, 0.0000) (multiplicity 3)  3 Br 2.60, 3 Ag 2.72
Ag (0.0000, 0.0000, 0.7377) (multiplicity 3)  3 Br 2.67, 3 Zn 2.72
Br (0.0000, 0.0000, 0.2714) (multiplicity 3)  3 Zn 2.60
Br (0.0000, 0.0000, 0.4717) (multiplicity 3)  3 Ag 2.67

---

Below is AlPIr2 at its PBEsol-relaxed geometry, with properties calculated at the meta-GGA SCAN level.

Summary:
- Calculated total energy: -1.491 Ha/atom
- Energy relative to the elements: -1.97 eV per formula unit
- Distance to the lowest polymorph of the same formula: 0.000 eV per atom

Unit cell a=8.7225 b=2.9545 c=4.3128 alpha=90.00 beta=103.77 gamma=90.00
Closest atoms and distances in Å follow each position.
Space group Cm (No. 8)
Inequivalent atoms, fractional coordinates:
Al (0.0000, 0.0000, 0.0000) (multiplicity 2)  7 Ir 2.43-2.65
P (0.2547, 0.5000, 0.3532) (multiplicity 2)  7 Ir 2.46-2.75
Ir (0.2612, 0.0000, 0.8941) (multiplicity 2)  3 Al 2.43-2.51, 2 P 2.48
Ir (0.4869, 0.0000, 0.4850) (multiplicity 2)  3 P 2.46-2.53, 4 Al 2.59-2.65

---

Below is MnHgTe2 at its PBEsol-relaxed geometry, with properties calculated at the meta-GGA SCAN level.

Summary:
- ΔE_f (raw): 228 meV per atom
- Calculated total energy: -1.470 Ha/atom

Unit cell a=7.2502 b=7.2502 c=7.2502 alpha=90.00 beta=90.00 gamma=90.00
Closest atoms and distances in Å follow each position.
Space group F-43m (No. 216)
Inequivalent atoms, fractional coordinates:
Mn (0.0000, 0.0000, 0.0000) (multiplicity 4)  4 Te 3.14, 4 Hg 3.14
Hg (0.2500, 0.2500, 0.7500) (multiplicity 4)  4 Mn 3.14, 4 Te 3.14
Te (0.0000, 0.0000, 0.5000) (multiplicity 4)  4 Hg 3.14, 4 Te 3.14
Te (0.2500, 0.2500, 0.2500) (multiplicity 4)  4 Te 3.14, 4 Mn 3.14

---

What did the seventh record say?
Below is AlPIr2 at its PBEsol-relaxed geometry, with properties calculated at the meta-GGA SCAN level.

Summary:
- Calculated total energy: -1.491 Ha/atom
- Energy relative to the elements: -1.97 eV per formula unit
- Distance to the lowest polymorph of the same formula: 0.000 eV per atom

Unit cell a=8.7225 b=2.9545 c=4.3128 alpha=90.00 beta=103.77 gamma=90.00
Closest atoms and distances in Å follow each position.
Space group Cm (No. 8)
Inequivalent atoms, fractional coordinates:
Al (0.0000, 0.0000, 0.0000) (multiplicity 2)  7 Ir 2.43-2.65
P (0.2547, 0.5000, 0.3532) (multiplicity 2)  7 Ir 2.46-2.75
Ir (0.2612, 0.0000, 0.8941) (multiplicity 2)  3 Al 2.43-2.51, 2 P 2.48
Ir (0.4869, 0.0000, 0.4850) (multiplicity 2)  3 P 2.46-2.53, 4 Al 2.59-2.65

---

Question: Number 1 is which compound?
Answer: EuIn2Ge4Ir4

---

What did the fifth record say?
Below is Sc2InCu at its PBEsol-relaxed geometry, with properties calculated at the meta-GGA SCAN level.

Summary:
- Calculated total energy: -0.723 Ha/atom
- Energy relative to the elements: -1.66 eV per formula unit

Unit cell a=4.7349 b=4.7349 c=3.4564 alpha=90.00 beta=90.00 gamma=90.00
Closest atoms and distances in Å follow each position.
Space group P4/mmm (No. 123)
Inequivalent atoms, fractional coordinates:
Sc (0.0000, 0.5000, 0.0000) (multiplicity 2)  4 Cu 2.93, 4 In 2.93
In (0.0000, 0.0000, 0.5000) (multiplicity 1)  8 Sc 2.93
Cu (0.5000, 0.5000, 0.5000) (multiplicity 1)  8 Sc 2.93